# 1
Computed, not measured: an optimized crystal structure of KMg2Te at the PBEsol level of DFT.

Output
Fermi-level density of states = 2.1 states/eV/f.u.
Crystal system = orthorhombic
Uncorrected formation energy = -28 meV/atom

a = 6.3763 Å, b = 11.4150 Å, c = 3.3118 Å
α = 90.00°, β = 90.00°, γ = 90.00°
Last column: nearest neighbours and their distance in Å.
Space group Cmmm (No. 65)
Inequivalent atoms, fractional coordinates:
K  0.0000  0.0000  0.0000  2 Te 3.19, 2 K 3.31
Mg  0.2500  0.2500  0.5000  4 Mg 3.19-3.31
Te  0.0000  0.5000  0.0000  2 K 3.19, 2 Te 3.31

---

# 2
Computed, not measured: an optimized crystal structure of La2WSe at the PBEsol level of DFT.

Output
Fermi-level density of states = 5.0 states/eV/f.u.
Crystal system = tetragonal
Uncorrected formation energy = -205 meV/atom
Energy above the lowest structure with this stoichiometry = 0 meV per atom

a = 3.5141 Å, b = 3.5141 Å, c = 7.9111 Å
α = 90.00°, β = 90.00°, γ = 90.00°
Last column: nearest neighbours and their distance in Å.
Space group P4/mmm (No. 123)
Inequivalent atoms, fractional coordinates:
La  0.0000  0.0000  0.2491  4 W 3.17, 4 Se 3.18, 4 La 3.51
W  0.5000  0.5000  0.0000  8 La 3.17, 4 W 3.51
Se  0.5000  0.5000  0.5000  8 La 3.18, 4 Se 3.51

---

# 3
Computed, not measured: an optimized crystal structure of Hg2SbRh at the PBEsol level of DFT.

Output
Fermi-level density of states = 2.4 states/eV/f.u.
Crystal system = orthorhombic
Uncorrected formation energy = -21 meV/atom

a = 3.0447 Å, b = 4.5657 Å, c = 12.4597 Å
α = 90.00°, β = 90.00°, γ = 90.00°
Last column: nearest neighbours and their distance in Å.
Space group Imm2 (No. 44)
Inequivalent atoms, fractional coordinates:
Hg  0.0000  0.0000  0.0000  2 Rh 2.85, 4 Hg 3.04-3.15
Hg  0.0000  0.5000  0.1741  4 Rh 2.75, 2 Hg 3.04
Sb  0.0000  0.0000  0.3647  2 Rh 2.63
Rh  0.0000  0.5000  0.6929  2 Sb 2.63, 6 Hg 2.75-2.85

---

# 4
Computed, not measured: an optimized crystal structure of Ho3Se4O12F at the PBEsol level of DFT.

Output
Fermi-level density of states = 0.0 states/eV/f.u.
Crystal system = hexagonal
Uncorrected formation energy = -2071 meV/atom

a = 10.2975 Å, b = 10.2975 Å, c = 6.7060 Å
α = 90.00°, β = 90.00°, γ = 120.00°
Last column: nearest neighbours and their distance in Å.
Space group P6_3mc (No. 186)
Inequivalent atoms, fractional coordinates:
Ho  0.0770  0.5385  0.0000  8 O 2.29-2.50, 1 F 2.31
Se  0.1547  0.3093  0.7693  3 O 1.71
Se  0.3333  0.6667  0.4399  3 O 1.73
O  0.0805  0.4175  0.6961  1 Se 1.71
O  0.1606  0.5803  0.3228  1 Se 1.73
O  0.1838  0.3676  0.0128  1 Se 1.71
F  0.3333  0.6667  0.9511  3 Ho 2.31

---

# 5
Computed, not measured: an optimized crystal structure of TcMo at the PBEsol level of DFT.

Output
Fermi-level density of states = 2.2 states/eV/f.u.
Crystal system = orthorhombic
Energy above the lowest structure with this stoichiometry = 27 meV per atom
DFT formation energy = 0.228 eV/f.u.

a = 3.0721 Å, b = 4.3892 Å, c = 4.3532 Å
α = 90.00°, β = 90.00°, γ = 90.00°
Last column: nearest neighbours and their distance in Å.
Space group Cmmm (No. 65)
Inequivalent atoms, fractional coordinates:
Tc  0.0000  0.0000  0.0000  4 Mo 2.66, 4 Tc 2.68
Mo  0.0000  0.5000  0.5000  4 Tc 2.66, 4 Mo 2.68

---

# 6
Computed, not measured: an optimized crystal structure of BaAl2Pt at the PBEsol level of DFT.

Output
Fermi-level density of states = 2.7 states/eV/f.u.
Crystal system = trigonal
DFT formation energy = -2.695 eV/f.u.

a = 4.3774 Å, b = 4.3774 Å, c = 18.0099 Å
α = 90.00°, β = 90.00°, γ = 120.00°
Last column: nearest neighbours and their distance in Å.
Space group R3m (No. 160, hexagonal axes)
Inequivalent atoms, fractional coordinates:
Ba  0.0000  0.0000  0.0000  1 Pt 3.26, 7 Al 3.44-3.60
Al  0.0000  0.0000  0.1908  3 Pt 2.62, 3 Al 2.68
Al  0.0000  0.0000  0.4740  3 Pt 2.54, 3 Al 2.68
Pt  0.0000  0.0000  0.8190  6 Al 2.54-2.62

---

# 7
Computed, not measured: an optimized crystal structure of CaFePt2 at the PBEsol level of DFT.

Output
Fermi-level density of states = 3.5 states/eV/f.u.
Crystal system = tetragonal
DFT formation energy = -0.326 eV/f.u.

a = 3.3094 Å, b = 3.3094 Å, c = 6.4164 Å
α = 90.00°, β = 90.00°, γ = 90.00°
Last column: nearest neighbours and their distance in Å.
Space group P4mm (No. 99)
Inequivalent atoms, fractional coordinates:
Ca  0.0000  0.0000  0.0000  5 Pt 2.91-3.07, 4 Fe 3.18
Fe  0.5000  0.5000  0.3349  5 Pt 2.52-2.53
Pt  0.0000  0.0000  0.4786  4 Fe 2.52
Pt  0.5000  0.5000  0.7296  1 Fe 2.53

---

# 8
Computed, not measured: an optimized crystal structure of Cs2SrAlN at the PBEsol level of DFT.

Output
Fermi-level density of states = 4.0 states/eV/f.u.
Crystal system = tetragonal
Uncorrected formation energy = 330 meV/atom

a = 7.8750 Å, b = 7.8750 Å, c = 3.6203 Å
α = 90.00°, β = 90.00°, γ = 90.00°
Last column: nearest neighbours and their distance in Å.
Space group P4/mmm (No. 123)
Inequivalent atoms, fractional coordinates:
Cs  0.0000  0.5000  0.0000  2 Cs 3.62, 2 Al 3.94
Sr  0.0000  0.0000  0.5000  2 Sr 3.62
Al  0.5000  0.5000  0.0000  2 N 1.81
N  0.5000  0.5000  0.5000  2 Al 1.81

---

# 9
Computed, not measured: an optimized crystal structure of MgScW3 at the PBEsol level of DFT.

Output
Fermi-level density of states = 4.8 states/eV/f.u.
Crystal system = cubic
DFT formation energy = 11.454 eV/f.u.

a = 4.6206 Å, b = 4.6206 Å, c = 4.6206 Å
α = 90.00°, β = 90.00°, γ = 90.00°
Last column: nearest neighbours and their distance in Å.
Space group Pm-3m (No. 221)
Inequivalent atoms, fractional coordinates:
Mg  0.0000  0.0000  0.0000  12 W 3.27
Sc  0.5000  0.5000  0.5000  6 W 2.31
W  0.0000  0.5000  0.5000  2 Sc 2.31

---

# 10
Computed, not measured: an optimized crystal structure of Tl2RhPb at the PBEsol level of DFT.

Output
Fermi-level density of states = 3.0 states/eV/f.u.
Crystal system = tetragonal
Energy above the lowest structure with this stoichiometry = 290 meV per atom
DFT formation energy = 1.347 eV/f.u.

a = 4.4274 Å, b = 4.4274 Å, c = 9.1209 Å
α = 90.00°, β = 90.00°, γ = 90.00°
Last column: nearest neighbours and their distance in Å.
Space group I4/mmm (No. 139)
Inequivalent atoms, fractional coordinates:
Tl  0.0000  0.5000  0.2500  4 Tl 3.13, 4 Pb 3.18, 4 Rh 3.18
Rh  0.0000  0.0000  0.0000  4 Pb 3.13, 8 Tl 3.18
Pb  0.0000  0.0000  0.5000  4 Rh 3.13, 8 Tl 3.18

---

# 11
Computed, not measured: an optimized crystal structure of NiB2Sb at the PBEsol level of DFT.

Output
Fermi-level density of states = 1.1 states/eV/f.u.
Crystal system = tetragonal
Uncorrected formation energy = 335 meV/atom

a = 3.7136 Å, b = 3.7136 Å, c = 14.0431 Å
α = 90.00°, β = 90.00°, γ = 90.00°
Last column: nearest neighbours and their distance in Å.
Space group I-42d (No. 122)
Inequivalent atoms, fractional coordinates:
Ni  0.0000  0.0000  0.0000  4 B 1.99
B  0.0483  0.2500  0.1250  2 B 1.89, 2 Ni 1.99
Sb  0.0000  0.0000  0.5000  8 B 2.60-2.84, 4 Ni 2.63

---

# 12
Computed, not measured: an optimized crystal structure of TbAl10Ru2 at the PBEsol level of DFT.

Output
Fermi-level density of states = 4.2 states/eV/f.u.
Crystal system = orthorhombic
DFT formation energy = -6.597 eV/f.u.

a = 9.0274 Å, b = 10.1752 Å, c = 9.0668 Å
α = 90.00°, β = 90.00°, γ = 90.00°
Last column: nearest neighbours and their distance in Å.
Space group Cmcm (No. 63)
Inequivalent atoms, fractional coordinates:
Tb  0.0000  0.1274  0.2500  14 Al 3.12-3.31, 4 Ru 3.43
Al  0.0000  0.1569  0.6002  2 Ru 2.61, 8 Al 2.62-2.90
Al  0.0000  0.3765  0.0500  6 Al 2.62-2.82, 2 Ru 2.64
Al  0.1507  0.3696  0.7500  7 Al 2.64-2.90, 2 Ru 2.72
Al  0.2232  0.3641  0.2500  2 Ru 2.56, 8 Al 2.64-2.85
Al  0.2253  0.0000  0.0000  2 Ru 2.55, 8 Al 2.70-2.85
Ru  0.2500  0.2500  0.0000  10 Al 2.55-2.72

---

# 13
Computed, not measured: an optimized crystal structure of MgSc2Se4 at the PBEsol level of DFT.

Output
Crystal system = orthorhombic
Uncorrected formation energy = -1529 meV/atom
Energy above the lowest structure with this stoichiometry = 40 meV per atom

a = 12.5602 Å, b = 3.7658 Å, c = 13.0320 Å
α = 90.00°, β = 90.00°, γ = 90.00°
Last column: nearest neighbours and their distance in Å.
Space group Pnma (No. 62)
Inequivalent atoms, fractional coordinates:
Mg  0.1235  0.2500  0.0772  5 Se 2.72-2.77
Sc  0.1090  0.7500  0.4263  6 Se 2.67-2.73
Sc  0.1507  0.7500  0.7994  6 Se 2.66-2.74
Se  0.0278  0.2500  0.8862  2 Sc 2.68, 3 Mg 2.72-2.76
Se  0.0326  0.7500  0.6225  4 Sc 2.67-2.74
Se  0.2120  0.7500  0.2428  3 Sc 2.66-2.72
Se  0.2482  0.2500  0.4830  3 Sc 2.67-2.71, 2 Mg 2.77

---

# 14
Computed, not measured: an optimized crystal structure of HfGe2ClF at the PBEsol level of DFT.

Output
Fermi-level density of states = 1.2 states/eV/f.u.
Crystal system = tetragonal
Uncorrected formation energy = -318 meV/atom

a = 4.1574 Å, b = 4.1574 Å, c = 4.9996 Å
α = 90.00°, β = 90.00°, γ = 90.00°
Last column: nearest neighbours and their distance in Å.
Space group P4/mmm (No. 123)
Inequivalent atoms, fractional coordinates:
Hf  0.0000  0.0000  0.0000  4 Cl 2.94, 8 Ge 3.25
Ge  0.0000  0.5000  0.5000  2 F 2.08
Cl  0.5000  0.5000  0.0000  2 F 2.50
F  0.5000  0.5000  0.5000  4 Ge 2.08

---

# 15
Computed, not measured: an optimized crystal structure of CaMg2Tc at the PBEsol level of DFT.

Output
Fermi-level density of states = 2.7 states/eV/f.u.
Crystal system = orthorhombic
Energy above the lowest structure with this stoichiometry = 41 meV per atom
DFT formation energy = 1.544 eV/f.u.

a = 3.0893 Å, b = 5.1481 Å, c = 10.6769 Å
α = 90.00°, β = 90.00°, γ = 90.00°
Last column: nearest neighbours and their distance in Å.
Space group Immm (No. 71)
Inequivalent atoms, fractional coordinates:
Ca  0.0000  0.0000  0.0000  4 Tc 3.00, 2 Ca 3.09
Mg  0.0000  0.5000  0.2119  2 Tc 2.74
Tc  0.0000  0.0000  0.5000  4 Mg 2.74, 4 Ca 3.00

---

# 16
Computed, not measured: an optimized crystal structure of Zn4ReTe at the PBEsol level of DFT.

Output
Fermi-level density of states = 1.3 states/eV/f.u.
Crystal system = cubic
Uncorrected formation energy = 340 meV/atom

a = 7.1081 Å, b = 7.1081 Å, c = 7.1081 Å
α = 90.00°, β = 90.00°, γ = 90.00°
Last column: nearest neighbours and their distance in Å.
Space group F-43m (No. 216)
Inequivalent atoms, fractional coordinates:
Zn  0.1234  0.1234  0.3766  6 Zn 2.48-2.55
Re  0.2500  0.2500  0.7500  12 Zn 2.94, 4 Te 3.08
Te  0.0000  0.0000  0.0000  12 Zn 2.95, 4 Re 3.08

---

# 17
Computed, not measured: an optimized crystal structure of SbPCl6O2 at the PBEsol level of DFT.

Output
Fermi-level density of states = 0.0 states/eV/f.u.
Crystal system = monoclinic
Uncorrected formation energy = -1053 meV/atom

a = 8.6209 Å, b = 11.4663 Å, c = 11.4108 Å
α = 90.00°, β = 109.32°, γ = 90.00°
Last column: nearest neighbours and their distance in Å.
Space group P2_1/c (No. 14)
Inequivalent atoms, fractional coordinates:
Sb  0.1979  0.0406  0.2237  2 O 2.09, 1 Cl 2.33
P  0.1969  0.5933  0.4576  2 O 1.52
Cl  0.0489  0.6340  0.7037  1 Sb 2.35
Cl  0.1348  0.0974  0.4001  1 Sb 2.34
Cl  0.3008  0.7413  0.5318  1 P 1.97
Cl  0.3099  0.5467  0.3397  1 P 1.98
Cl  0.3188  0.2187  0.2065  1 Sb 2.33
Cl  0.4502  0.5489  0.8293  1 Sb 2.35
O  0.0169  0.6215  0.3899  1 P 1.52
O  0.2327  0.0033  0.0546  1 P 1.52

---

# 18
Computed, not measured: an optimized crystal structure of SrRu2Se at the PBEsol level of DFT.

Output
Fermi-level density of states = 5.2 states/eV/f.u.
Crystal system = trigonal
Uncorrected formation energy = 66 meV/atom

a = 4.2668 Å, b = 4.2668 Å, c = 16.2305 Å
α = 90.00°, β = 90.00°, γ = 120.00°
Last column: nearest neighbours and their distance in Å.
Space group R-3m (No. 166, hexagonal axes)
Inequivalent atoms, fractional coordinates:
Sr  0.0000  0.0000  0.0000  8 Ru 3.12-3.36
Ru  0.0000  0.0000  0.1923  3 Se 2.50, 3 Ru 2.60
Se  0.0000  0.0000  0.5000  6 Ru 2.50

---

# 19
Computed, not measured: an optimized crystal structure of Ba2TlRh at the PBEsol level of DFT.

Output
Fermi-level density of states = 3.3 states/eV/f.u.
Crystal system = tetragonal
Energy above the lowest structure with this stoichiometry = 67 meV per atom
DFT formation energy = -0.542 eV/f.u.

a = 11.1960 Å, b = 11.1960 Å, c = 5.2723 Å
α = 90.00°, β = 90.00°, γ = 90.00°
Last column: nearest neighbours and their distance in Å.
Space group I-42d (No. 122)
Inequivalent atoms, fractional coordinates:
Ba  0.0814  0.7500  0.1250  2 Rh 3.02
Tl  0.0000  0.0000  0.5000  2 Rh 2.64
Rh  0.0000  0.0000  0.0000  2 Tl 2.64

---

# 20
Computed, not measured: an optimized crystal structure of Sc2BeP at the PBEsol level of DFT.

Output
Fermi-level density of states = 2.6 states/eV/f.u.
Crystal system = orthorhombic
Energy above the lowest structure with this stoichiometry = 0 meV per atom
DFT formation energy = -3.549 eV/f.u.

a = 3.5124 Å, b = 3.7814 Å, c = 9.5846 Å
α = 90.00°, β = 90.00°, γ = 90.00°
Last column: nearest neighbours and their distance in Å.
Space group Amm2 (No. 38)
Inequivalent atoms, fractional coordinates:
Sc  0.0000  0.0000  0.0000  4 P 2.68, 3 Be 2.76-2.78
Sc  0.5000  0.0000  0.2873  4 Be 2.68, 3 P 2.76-2.77
Be  0.0000  0.0000  0.7122  2 P 2.19
P  0.5000  0.0000  0.5757  2 Be 2.19

---

# 21
Computed, not measured: an optimized crystal structure of ScFe2Pb at the PBEsol level of DFT.

Output
Fermi-level density of states = 4.9 states/eV/f.u.
Crystal system = tetragonal
DFT formation energy = 0.858 eV/f.u.

a = 3.3652 Å, b = 3.3652 Å, c = 5.9332 Å
α = 90.00°, β = 90.00°, γ = 90.00°
Last column: nearest neighbours and their distance in Å.
Space group P4/mmm (No. 123)
Inequivalent atoms, fractional coordinates:
Sc  0.0000  0.0000  0.0000  8 Fe 2.68, 2 Pb 2.97
Fe  0.5000  0.5000  0.2094  1 Fe 2.48, 4 Sc 2.68
Pb  0.0000  0.0000  0.5000  8 Fe 2.94, 2 Sc 2.97

---

# 22
Computed, not measured: an optimized crystal structure of YBe2Os at the PBEsol level of DFT.

Output
Fermi-level density of states = 2.3 states/eV/f.u.
Crystal system = orthorhombic
Energy above the lowest structure with this stoichiometry = 431 meV per atom
DFT formation energy = 0.983 eV/f.u.

a = 3.1591 Å, b = 4.5200 Å, c = 8.0560 Å
α = 90.00°, β = 90.00°, γ = 90.00°
Last column: nearest neighbours and their distance in Å.
Space group Imm2 (No. 44)
Inequivalent atoms, fractional coordinates:
Y  0.0000  0.0000  0.0000  8 Be 2.76-2.83, 4 Os 2.82-2.83
Be  0.0000  0.0000  0.4897  2 Be 2.26, 2 Os 2.38
Be  0.0000  0.5000  0.7891  2 Be 2.26
Os  0.0000  0.5000  0.2107  2 Be 2.38

---

# 23
Computed, not measured: an optimized crystal structure of BaAlW4 at the PBEsol level of DFT.

Output
Fermi-level density of states = 6.2 states/eV/f.u.
Crystal system = cubic
DFT formation energy = 5.729 eV/f.u.

a = 7.7234 Å, b = 7.7234 Å, c = 7.7234 Å
α = 90.00°, β = 90.00°, γ = 90.00°
Last column: nearest neighbours and their distance in Å.
Space group F-43m (No. 216)
Inequivalent atoms, fractional coordinates:
Ba  0.0000  0.0000  0.0000  12 W 3.20, 4 Al 3.34
Al  0.2500  0.2500  0.2500  12 W 3.20, 4 Ba 3.34
W  0.1254  0.1254  0.6254  6 W 2.72-2.74